# 1
Zn2Ag3: relaxed, GGA-PBEsol.

Values from the calculation:
Magnetic moment (μB per formula unit): 0.00
Raw total energy (hartree per atom): -0.0982
SG: No. 43
ΔE to the lowest computed polymorph (meV per atom): 5
Volume (A^3/atom): 15.48

POSCAR file:
```
Zn2Ag3
1.0
-1.582 -4.474 1.594
-0.613 -3.866 -3.599
7.039 0.365 0.149
Ag Zn
6 4
direct
0.734 0.908 0.203 Ag
0.439 0.092 0.797 Ag
0.781 0.408 0.297 Ag
0.892 0.592 0.703 Ag
0.074 0.000 0.000 Ag
0.324 0.500 0.500 Ag
0.201 0.446 0.096 Zn
0.552 0.554 0.904 Zn
0.355 0.946 0.404 Zn
0.897 0.054 0.596 Zn
```


# 2
KZnIr: relaxed, GGA-PBEsol.

Values from the calculation:
Magnetic moment (μB per formula unit): 0.00
Raw total energy (hartree per atom): -0.1290
SG: No. 187
ΔE to the lowest computed polymorph (meV per atom): 162
Volume (A^3/atom): 18.59

POSCAR file:
```
KZnIr
1.0
-1.338 1.486 -1.697
-4.178 -0.893 2.512
2.821 3.897 1.189
Ir K Zn
1 1 1
direct
0.500 0.000 0.000 Ir
0.000 0.333 0.667 K
0.500 0.667 0.333 Zn
```


# 3
Be4C3: relaxed, GGA-PBEsol.

Values from the calculation:
Magnetic moment (μB per formula unit): 0.00
Raw total energy (hartree per atom): -0.1935
SG: No. 215
Volume (A^3/atom): 11.08

POSCAR file:
```
Be4C3
1.0
-1.427 -3.623 -1.741
3.994 -1.484 -0.187
-0.447 -1.693 3.889
Be C
4 3
direct
0.306 0.694 0.306 Be
0.694 0.306 0.306 Be
0.694 0.694 0.694 Be
0.306 0.306 0.694 Be
0.500 0.000 0.500 C
0.500 0.500 0.000 C
0.000 0.500 0.500 C
```


# 4
Sr2CdPb: relaxed, GGA-PBEsol.

Values from the calculation:
Magnetic moment (μB per formula unit): 0.00
Raw total energy (hartree per atom): -0.0989
SG: No. 123
ΔE to the lowest computed polymorph (meV per atom): 40
Volume (A^3/atom): 32.15

POSCAR file:
```
Sr2CdPb
1.0
4.073 0.000 0.000
0.000 5.620 0.000
0.000 0.000 5.617
Pb Sr Cd
1 2 1
direct
0.500 0.875 0.500 Pb
0.000 0.875 0.000 Sr
0.000 0.375 0.500 Sr
0.500 0.375 0.000 Cd
```


# 5
LaNdCo10: relaxed, GGA-PBEsol.

Values from the calculation:
Magnetic moment (μB per formula unit): 13.51
Raw total energy (hartree per atom): -0.2692
SG: No. 47
Volume (A^3/atom): 13.64

POSCAR file:
```
LaNdCo10
1.0
3.907 0.000 0.000
0.000 4.908 0.000
0.000 0.000 8.536
La Nd Co
1 1 10
direct
0.000 0.000 0.000 La
0.000 0.500 0.500 Nd
0.000 0.000 0.328 Co
0.000 0.500 0.835 Co
0.000 0.500 0.165 Co
0.000 0.000 0.672 Co
0.500 0.000 0.500 Co
0.500 0.500 0.000 Co
0.500 0.255 0.255 Co
0.500 0.745 0.745 Co
0.500 0.745 0.255 Co
0.500 0.255 0.745 Co
```


# 6
Y3Zr: relaxed, GGA-PBEsol.

Values from the calculation:
Magnetic moment (μB per formula unit): 0.00
Raw total energy (hartree per atom): -0.2685
SG: No. 59
ΔE to the lowest computed polymorph (meV per atom): 6
Volume (A^3/atom): 28.23

POSCAR file:
```
Y3Zr
1.0
5.421 0.000 0.000
0.000 6.030 0.000
0.000 0.000 6.908
Y Zr
6 2
direct
0.500 0.351 0.000 Y
0.000 0.169 0.750 Y
0.500 0.831 0.750 Y
0.000 0.649 0.500 Y
0.000 0.169 0.250 Y
0.500 0.831 0.250 Y
0.000 0.670 0.000 Zr
0.500 0.330 0.500 Zr
```


# 7
CaAuS2: relaxed, GGA-PBEsol.

Values from the calculation:
Formation energy (no corrections) (eV/atom): -0.78
Magnetic moment (μB per formula unit): 0.00
Raw total energy (hartree per atom): -0.1647
SG: No. 166
Volume (A^3/atom): 27.07

POSCAR file:
```
CaAuS2
1.0
-3.390 2.069 1.141
-1.059 0.190 3.990
2.496 6.850 2.477
Ca Au S
1 1 2
direct
0.500 0.500 0.500 Ca
0.000 0.000 0.000 Au
0.899 0.899 0.303 S
0.101 0.101 0.697 S
```


# 8
LaNi: relaxed, GGA-PBEsol.

Values from the calculation:
Magnetic moment (μB per formula unit): 0.00
Raw total energy (hartree per atom): -0.2113
SG: No. 187
Volume (A^3/atom): 23.29

POSCAR file:
```
LaNi
1.0
-3.251 -0.121 1.645
-1.695 -0.599 -3.394
1.179 -2.984 2.111
La Ni
1 1
direct
0.000 0.000 0.000 La
0.500 0.667 0.333 Ni
```


# 9
KZrHg2: relaxed, GGA-PBEsol.

Values from the calculation:
Magnetic moment (μB per formula unit): 0.00
Raw total energy (hartree per atom): -0.1054
SG: No. 25
ΔE to the lowest computed polymorph (meV per atom): 0
Volume (A^3/atom): 23.54

POSCAR file:
```
KZrHg2
1.0
-2.500 0.352 -1.701
-2.079 -4.716 2.079
-2.398 2.873 4.120
Hg K Zr
2 1 1
direct
0.000 0.000 0.118 Hg
0.000 0.500 0.634 Hg
0.500 0.000 0.618 K
0.500 0.500 0.130 Zr
```


# 10
Y2TiPt: relaxed, GGA-PBEsol.

Values from the calculation:
Magnetic moment (μB per formula unit): 2.90
Raw total energy (hartree per atom): -0.2779
SG: No. 225
Volume (A^3/atom): 21.30

POSCAR file:
```
Y2TiPt
1.0
4.939 0.000 0.000
2.470 4.278 0.000
2.470 1.426 4.033
Y Pt Ti
2 1 1
direct
0.250 0.250 0.250 Y
0.750 0.750 0.750 Y
0.500 0.500 0.500 Pt
0.000 0.000 0.000 Ti
```


# 11
Ba2AgBi2: relaxed, GGA-PBEsol.

Values from the calculation:
Magnetic moment (μB per formula unit): 0.00
Raw total energy (hartree per atom): -0.1317
SG: No. 139
Volume (A^3/atom): 41.63

POSCAR file:
```
Ba2AgBi2
1.0
6.569 0.018 0.026
-3.015 5.836 -0.026
-3.015 -2.175 5.416
Bi Ag Ba
2 1 2
direct
0.000 0.682 0.682 Bi
0.000 0.318 0.318 Bi
0.000 0.000 0.000 Ag
0.500 0.750 0.250 Ba
0.500 0.250 0.750 Ba
```


# 12
Li4Mn2Cu3Sn3O16: relaxed, GGA-PBEsol.

Values from the calculation:
Formation energy (no corrections) (eV/atom): -1.43
Magnetic moment (μB per formula unit): 0.98
Raw total energy (hartree per atom): -0.2324
SG: No. 8
Volume (A^3/atom): 10.26

POSCAR file:
```
Li4Mn2Cu3Sn3O16
1.0
5.986 0.030 0.006
2.952 5.208 0.006
-0.018 -0.011 9.245
Mn Li Sn O Cu
2 4 3 16 3
direct
0.672 0.672 0.493 Mn
0.347 0.347 0.985 Mn
0.664 0.664 0.878 Li
0.887 0.887 0.962 Li
0.984 0.984 0.503 Li
0.341 0.341 0.400 Li
0.343 0.838 0.205 Sn
0.838 0.343 0.205 Sn
0.174 0.174 0.716 Sn
0.345 0.831 0.593 O
0.525 0.525 0.347 O
0.683 0.683 0.092 O
0.001 0.001 0.312 O
0.996 0.996 0.806 O
0.831 0.345 0.593 O
0.526 0.958 0.357 O
0.958 0.526 0.357 O
0.186 0.186 0.100 O
0.818 0.818 0.595 O
0.049 0.491 0.857 O
0.491 0.049 0.857 O
0.344 0.344 0.607 O
0.178 0.660 0.092 O
0.483 0.483 0.859 O
0.660 0.178 0.092 O
0.834 0.834 0.222 Cu
0.180 0.662 0.712 Cu
0.662 0.180 0.712 Cu
```


# 13
ScAl2Co: relaxed, GGA-PBEsol.

Values from the calculation:
Magnetic moment (μB per formula unit): 0.00
Raw total energy (hartree per atom): -0.2203
SG: No. 225
Volume (A^3/atom): 14.42

POSCAR file:
```
ScAl2Co
1.0
-3.273 -2.800 0.503
0.807 -4.083 1.219
-1.118 -1.339 3.970
Sc Co Al
1 1 2
direct
0.000 0.000 0.000 Sc
0.500 0.500 0.500 Co
0.750 0.750 0.750 Al
0.250 0.250 0.250 Al
```


# 14
NbCd3N: relaxed, GGA-PBEsol.

Values from the calculation:
Formation energy (no corrections) (eV/atom): 2.11
Magnetic moment (μB per formula unit): 6.66
Raw total energy (hartree per atom): -0.0911
SG: No. 221
Volume (A^3/atom): 35.02

POSCAR file:
```
NbCd3N
1.0
5.595 0.000 0.000
0.000 5.595 0.000
0.000 0.000 5.595
Nb N Cd
1 1 3
direct
0.000 0.000 0.000 Nb
0.500 0.500 0.500 N
0.000 0.500 0.000 Cd
0.000 0.000 0.500 Cd
0.500 0.000 0.000 Cd
```


# 15
InAg4Sb: relaxed, GGA-PBEsol.

Values from the calculation:
Formation energy (no corrections) (eV/atom): 0.04
Magnetic moment (μB per formula unit): 0.00
Raw total energy (hartree per atom): -0.1258
SG: No. 216
Volume (A^3/atom): 19.56

POSCAR file:
```
InAg4Sb
1.0
-0.421 3.891 -3.858
-2.686 -1.049 -4.679
-4.852 2.388 -0.977
Sb Ag In
1 4 1
direct
0.000 0.000 0.000 Sb
0.375 0.375 0.375 Ag
0.375 0.375 0.875 Ag
0.875 0.375 0.375 Ag
0.375 0.875 0.375 Ag
0.750 0.750 0.750 In
```


# 16
H2WSe: relaxed, GGA-PBEsol.

Values from the calculation:
Magnetic moment (μB per formula unit): 0.66
Raw total energy (hartree per atom): -0.1801
SG: No. 225
Volume (A^3/atom): 9.79

POSCAR file:
```
H2WSe
1.0
-3.746 0.111 -0.696
-2.479 -0.057 2.895
-2.005 3.127 0.854
H W Se
2 1 1
direct
0.250 0.250 0.250 H
0.750 0.750 0.750 H
0.500 0.500 0.500 W
0.000 0.000 0.000 Se
```


# 17
MgAlAg: relaxed, GGA-PBEsol.

Values from the calculation:
Magnetic moment (μB per formula unit): 0.00
Raw total energy (hartree per atom): -0.1148
SG: No. 107
Volume (A^3/atom): 17.58

POSCAR file:
```
MgAlAg
1.0
-2.139 0.891 -1.833
-1.600 -2.380 0.711
-0.712 3.828 5.073
Mg Al Ag
1 1 1
direct
0.338 0.338 0.676 Mg
0.657 0.657 0.313 Al
0.005 0.005 0.011 Ag
```


# 18
Ag2AsIr: relaxed, GGA-PBEsol.

Values from the calculation:
Magnetic moment (μB per formula unit): 0.00
Raw total energy (hartree per atom): -0.1913
SG: No. 38
Volume (A^3/atom): 16.23

POSCAR file:
```
Ag2AsIr
1.0
2.923 0.000 0.000
0.000 4.204 0.000
-1.462 0.000 5.283
As Ir Ag
1 1 2
direct
0.804 0.000 0.609 As
0.697 0.500 0.395 Ir
0.066 0.000 0.133 Ag
0.436 0.500 0.873 Ag
```


# 19
Cu3OF5: relaxed, GGA-PBEsol.

Values from the calculation:
Formation energy (no corrections) (eV/atom): -1.27
Magnetic moment (μB per formula unit): 1.03
Raw total energy (hartree per atom): -0.1604
SG: No. 2
ΔE to the lowest computed polymorph (meV per atom): 3
Volume (A^3/atom): 10.77

POSCAR file:
```
Cu3OF5
1.0
4.604 -0.082 0.068
-0.378 5.508 0.152
-0.004 0.036 7.655
Cu O F
6 2 10
direct
0.994 0.805 0.662 Cu
0.537 0.328 0.678 Cu
0.006 0.195 0.338 Cu
0.500 0.000 0.000 Cu
0.463 0.672 0.322 Cu
0.000 0.500 0.000 Cu
0.164 0.480 0.226 O
0.836 0.520 0.774 O
0.786 0.887 0.414 F
0.214 0.113 0.586 F
0.286 0.014 0.231 F
0.712 0.365 0.448 F
0.288 0.635 0.552 F
0.804 0.204 0.083 F
0.714 0.986 0.769 F
0.337 0.292 0.897 F
0.663 0.708 0.103 F
0.196 0.796 0.917 F
```


# 20
SrSi2P: relaxed, GGA-PBEsol.

Values from the calculation:
Formation energy (no corrections) (eV/atom): 0.02
Magnetic moment (μB per formula unit): 0.00
Raw total energy (hartree per atom): -0.1749
SG: No. 123
Volume (A^3/atom): 19.09

POSCAR file:
```
SrSi2P
1.0
-0.627 0.430 -4.063
2.692 -3.049 -0.738
-3.323 -2.982 0.197
Sr Si P
1 2 1
direct
0.500 0.500 0.500 Sr
0.000 0.500 0.000 Si
0.500 0.000 0.000 Si
0.000 0.000 0.500 P
```


# 21
AgPt2: relaxed, GGA-PBEsol.

Values from the calculation:
Magnetic moment (μB per formula unit): 0.00
Raw total energy (hartree per atom): -0.1923
SG: No. 140
ΔE to the lowest computed polymorph (meV per atom): 516
Volume (A^3/atom): 16.32

POSCAR file:
```
AgPt2
1.0
4.995 0.000 0.000
2.498 4.428 0.000
2.498 0.000 4.428
Ag Pt
2 4
direct
0.750 0.000 0.000 Ag
0.250 0.000 0.000 Ag
0.643 0.500 0.213 Pt
0.143 0.213 0.500 Pt
0.857 0.787 0.500 Pt
0.357 0.500 0.787 Pt
```


# 22
AlAg2Mo: relaxed, GGA-PBEsol.

Values from the calculation:
Magnetic moment (μB per formula unit): 0.00
Raw total energy (hartree per atom): -0.1980
SG: No. 47
Volume (A^3/atom): 15.89

POSCAR file:
```
AlAg2Mo
1.0
-2.057 2.022 -0.063
-0.886 -1.038 -4.399
-3.225 -3.238 1.414
Mo Al Ag
1 1 2
direct
0.000 0.500 0.500 Mo
0.500 0.000 0.500 Al
0.000 0.000 0.000 Ag
0.500 0.500 0.000 Ag
```


# 23
ZrTcSe2: relaxed, GGA-PBEsol.

Values from the calculation:
Formation energy (no corrections) (eV/atom): -0.45
Magnetic moment (μB per formula unit): 0.00
Raw total energy (hartree per atom): -0.2744
SG: No. 12
ΔE to the lowest computed polymorph (meV per atom): 154
Volume (A^3/atom): 17.38

POSCAR file:
```
ZrTcSe2
1.0
-0.568 -3.078 0.830
3.902 0.707 -1.022
-0.023 1.526 5.645
Se Tc Zr
2 1 1
direct
0.744 0.489 0.720 Se
0.256 0.511 0.280 Se
0.000 0.000 0.500 Tc
0.500 0.000 0.000 Zr
```


# 24
TcIrRh2: relaxed, GGA-PBEsol.

Values from the calculation:
Magnetic moment (μB per formula unit): 0.00
Raw total energy (hartree per atom): -0.3463
SG: No. 160
ΔE to the lowest computed polymorph (meV per atom): 35
Volume (A^3/atom): 13.70

POSCAR file:
```
TcIrRh2
1.0
2.683 0.000 0.000
1.341 2.324 0.000
1.342 0.775 8.790
Ir Rh Tc
1 2 1
direct
0.248 0.248 0.254 Ir
0.000 0.000 0.999 Rh
0.752 0.752 0.746 Rh
0.500 0.500 0.501 Tc
```


# 25
CuRhW2: relaxed, GGA-PBEsol.

Values from the calculation:
Magnetic moment (μB per formula unit): 0.00
Raw total energy (hartree per atom): -0.3593
SG: No. 119
Volume (A^3/atom): 14.20

POSCAR file:
```
CuRhW2
1.0
3.838 0.000 0.000
0.000 3.838 0.000
-1.919 -1.919 3.856
Cu Rh W
1 1 2
direct
0.500 0.500 0.000 Cu
0.250 0.750 0.500 Rh
0.000 0.000 0.000 W
0.750 0.250 0.500 W
```


# 26
YCdFe: relaxed, GGA-PBEsol.

Values from the calculation:
Magnetic moment (μB per formula unit): 1.94
Raw total energy (hartree per atom): -0.2039
SG: No. 107
Volume (A^3/atom): 19.64

POSCAR file:
```
YCdFe
1.0
3.365 0.000 0.000
0.000 3.365 0.000
-1.682 -1.682 5.203
Cd Fe Y
1 1 1
direct
0.025 0.025 0.050 Cd
0.656 0.656 0.312 Fe
0.319 0.319 0.638 Y
```


# 27
RbSn2Pd2: relaxed, GGA-PBEsol.

Values from the calculation:
Magnetic moment (μB per formula unit): 0.00
Raw total energy (hartree per atom): -0.1710
SG: No. 139
ΔE to the lowest computed polymorph (meV per atom): 0
Volume (A^3/atom): 25.14

POSCAR file:
```
RbSn2Pd2
1.0
-3.528 0.096 -3.202
-2.669 -2.721 2.860
1.041 5.856 2.574
Rb Sn Pd
1 2 2
direct
0.000 0.000 0.000 Rb
0.354 0.354 0.707 Sn
0.646 0.646 0.293 Sn
0.250 0.750 0.500 Pd
0.750 0.250 0.500 Pd
```